(1)
{
  "formula": "PrHo4Er3",
  "functional": "PBE-GGA",
  "state": "relaxed",
  "delta_e_f_ev_per_atom": 0.008,
  "magmom_total_mub_per_fu": 0.00,
  "n_ef_per_ev_cell": 25.5,
  "relative_energy_mev_per_atom": 0,
  "sg": "Pmn2_1",
  "crystal_system": "orthorhombic",
  "lattice_angstrom": [[11.2342, 0.0000, 0.0000], [0.0000, 7.2473, 0.0000], [0.0000, 0.0000, 6.2565]],
  "species": ["Pr", "Pr", "Ho", "Ho", "Ho", "Ho", "Ho", "Ho", "Ho", "Ho", "Er", "Er", "Er", "Er", "Er", "Er"],
  "fractional_positions": [[0.0000, 0.1254, 0.0000], [0.5000, 0.8746, 0.5000], [0.0000, 0.3759, 0.5018], [0.0000, 0.6243, 0.0002], [0.2477, 0.6239, 0.3344], [0.2523, 0.3761, 0.8344], [0.5000, 0.3757, 0.5002], [0.5000, 0.6241, 0.0018], [0.7477, 0.3761, 0.8344], [0.7523, 0.6239, 0.3344], [0.0000, 0.8735, 0.5004], [0.2498, 0.1260, 0.3343], [0.2502, 0.8740, 0.8343], [0.5000, 0.1265, 0.0004], [0.7502, 0.1260, 0.3343], [0.7498, 0.8740, 0.8343]]
}

(2)
{
  "formula": "PrHo4Er4",
  "functional": "PBE-GGA",
  "state": "relaxed",
  "delta_e_f_ev_per_atom": 0.024,
  "magmom_total_mub_per_fu": 0.00,
  "n_ef_per_ev_cell": 12.9,
  "relative_energy_mev_per_atom": 0,
  "sg": "I4/mmm",
  "crystal_system": "tetragonal",
  "lattice_angstrom": [[-5.3108, 5.3108, 2.4941], [5.3108, -5.3108, 2.4941], [5.3108, 5.3108, -2.4941]],
  "species": ["Pr", "Ho", "Ho", "Ho", "Ho", "Er", "Er", "Er", "Er"],
  "fractional_positions": [[0.0000, 0.0000, 0.0000], [0.0000, 0.3343, 0.3343], [0.0000, 0.6657, 0.6657], [0.3343, 0.0000, 0.3343], [0.6657, 0.0000, 0.6657], [0.3321, 0.3321, 0.6643], [0.3321, 0.6679, 0.0000], [0.6679, 0.3321, 0.0000], [0.6679, 0.6679, 0.3357]]
}

(3)
{
  "formula": "Pr7Ho3Er",
  "functional": "PBE-GGA",
  "state": "relaxed",
  "delta_e_f_ev_per_atom": 0.133,
  "magmom_total_mub_per_fu": 0.00,
  "n_ef_per_ev_cell": 38.9,
  "relative_energy_mev_per_atom": 0,
  "sg": "Cmcm",
  "crystal_system": "orthorhombic",
  "lattice_angstrom": [[9.3430, -3.5954, 0.0000], [9.3430, 3.5954, 0.0000], [0.0000, 0.0000, 11.4815]],
  "species": ["Pr", "Pr", "Pr", "Pr", "Pr", "Pr", "Pr", "Pr", "Pr", "Pr", "Pr", "Pr", "Pr", "Pr", "Ho", "Ho", "Ho", "Ho", "Ho", "Ho", "Er", "Er"],
  "fractional_positions": [[0.0882, 0.5879, 0.5302], [0.0882, 0.5879, 0.9698], [0.1634, 0.6619, 0.2500], [0.2465, 0.7535, 0.7500], [0.3381, 0.8366, 0.2500], [0.4121, 0.9118, 0.5302], [0.4121, 0.9118, 0.9698], [0.5879, 0.0882, 0.0302], [0.5879, 0.0882, 0.4698], [0.6619, 0.1634, 0.7500], [0.7535, 0.2465, 0.2500], [0.8366, 0.3381, 0.7500], [0.9118, 0.4121, 0.0302], [0.9118, 0.4121, 0.4698], [0.2492, 0.2501, 0.7500], [0.2501, 0.2492, 0.2500], [0.5000, 0.5000, 0.0000], [0.5000, 0.5000, 0.5000], [0.7499, 0.7508, 0.7500], [0.7508, 0.7499, 0.2500], [0.0000, 0.0000, 0.0000], [0.0000, 0.0000, 0.5000]]
}

(4)
{
  "formula": "Pr4HoEr5",
  "functional": "PBE-GGA",
  "state": "relaxed",
  "delta_e_f_ev_per_atom": 0.194,
  "magmom_total_mub_per_fu": 0.00,
  "n_ef_per_ev_cell": 13.6,
  "relative_energy_mev_per_atom": 0,
  "sg": "P-1",
  "crystal_system": "triclinic",
  "lattice_angstrom": [[3.5258, 0.0000, 0.0000], [-1.7433, 8.5592, 0.0000], [-0.0009, -0.0101, 11.3458]],
  "species": ["Pr", "Pr", "Pr", "Pr", "Ho", "Er", "Er", "Er", "Er", "Er"],
  "fractional_positions": [[0.0331, 0.0661, 0.2497], [0.3452, 0.6800, 0.2501], [0.6548, 0.3200, 0.7499], [0.9669, 0.9339, 0.7503], [0.5000, 0.0000, 0.5000], [0.1716, 0.3455, 0.0468], [0.1718, 0.3460, 0.4526], [0.5000, 0.0000, 0.0000], [0.8282, 0.6540, 0.5474], [0.8284, 0.6545, 0.9532]]
}

(5)
{
  "formula": "PrHo5Er3",
  "functional": "PBE-GGA",
  "state": "relaxed",
  "delta_e_f_ev_per_atom": 0.427,
  "magmom_total_mub_per_fu": 0.01,
  "n_ef_per_ev_cell": 27.7,
  "relative_energy_mev_per_atom": 96,
  "sg": "C2/m",
  "crystal_system": "monoclinic",
  "lattice_angstrom": [[8.4148, -3.9662, 0.0000], [8.4148, 3.9662, 0.0000], [-7.8853, 0.0000, 9.2232]],
  "species": ["Pr", "Pr", "Ho", "Ho", "Ho", "Ho", "Ho", "Ho", "Ho", "Ho", "Ho", "Ho", "Er", "Er", "Er", "Er", "Er", "Er"],
  "fractional_positions": [[0.2369, 0.2369, 0.1334], [0.7631, 0.7631, 0.8666], [0.1225, 0.1225, 0.5660], [0.1431, 0.7287, 0.2199], [0.2713, 0.8569, 0.7801], [0.2986, 0.2986, 0.9273], [0.3215, 0.6785, 0.0000], [0.6785, 0.3215, 0.0000], [0.7014, 0.7014, 0.0727], [0.7287, 0.1431, 0.2199], [0.8569, 0.2713, 0.7801], [0.8775, 0.8775, 0.4340], [0.0000, 0.0000, 0.0000], [0.1684, 0.1684, 0.3388], [0.3781, 0.3781, 0.6825], [0.5000, 0.5000, 0.5000], [0.6219, 0.6219, 0.3175], [0.8316, 0.8316, 0.6612]]
}

(6)
{
  "formula": "PrHo4Er7",
  "functional": "PBE-GGA",
  "state": "relaxed",
  "delta_e_f_ev_per_atom": 0.281,
  "magmom_total_mub_per_fu": 0.00,
  "n_ef_per_ev_cell": 20.7,
  "relative_energy_mev_per_atom": 282,
  "sg": "C2/m",
  "crystal_system": "monoclinic",
  "lattice_angstrom": [[6.0152, -2.9129, 0.0000], [6.0152, 2.9129, 0.0000], [-5.8731, 0.0000, 11.0725]],
  "species": ["Pr", "Ho", "Ho", "Ho", "Ho", "Er", "Er", "Er", "Er", "Er", "Er", "Er"],
  "fractional_positions": [[0.0000, 0.0000, 0.0000], [0.2498, 0.2498, 0.6833], [0.3689, 0.3689, 0.2257], [0.6311, 0.6311, 0.7743], [0.7502, 0.7502, 0.3167], [0.0587, 0.0587, 0.3309], [0.2112, 0.2112, 0.9225], [0.3649, 0.3649, 0.4960], [0.5000, 0.5000, 0.0000], [0.6351, 0.6351, 0.5040], [0.7888, 0.7888, 0.0775], [0.9413, 0.9413, 0.6691]]
}